*1*
Entry from Alexandria via LeMat-Bulk: an optimized crystal structure of CdBOF2 (PBE).

Spin magnetization: 0.0 μB/f.u.
ρ: 5.3 g cm⁻³
Volume: 11.19 Å³ per atom

a b c (Å): 4.5735 4.5735 2.6738
angles (deg): 90.00 90.00 90.00
Space group P4/mmm (No. 123)
Inequivalent atoms, fractional coordinates:
1 Cd 0.0000 0.0000 0.0000 (multiplicity 1)
2 B 0.5000 0.5000 0.5000 (multiplicity 1)
3 O 0.5000 0.5000 0.0000 (multiplicity 1)
4 F 0.0000 0.5000 0.5000 (multiplicity 2)

---

*2*
Entry from Alexandria via LeMat-Bulk: an optimized crystal structure of CdBOF2 (PBE).

Spin magnetization: 0.6 μB/f.u.
ρ: 3.7 g cm⁻³
Volume: 15.98 Å³ per atom

a b c (Å): 4.3519 4.3519 4.2182
angles (deg): 90.00 90.00 90.00
Space group P4/mmm (No. 123)
Inequivalent atoms, fractional coordinates:
1 Cd 0.0000 0.0000 0.0000 (multiplicity 1)
2 B 0.5000 0.5000 0.5000 (multiplicity 1)
3 O 0.0000 0.0000 0.5000 (multiplicity 1)
4 F 0.0000 0.5000 0.0000 (multiplicity 2)

---

Preferred: *1*; penalty for the next structure: 135.7 kJ/mol of atoms.

---

*1*
Entry from Alexandria via LeMat-Bulk: an optimized crystal structure of CdFeB3 (PBE).

Spin magnetization: 0.1 μB/f.u.
ρ: 4.4 g cm⁻³
Volume: 15.14 Å³ per atom

a b c (Å): 4.2306 4.2306 4.2306
angles (deg): 90.00 90.00 90.00
Space group Pm-3m (No. 221)
Inequivalent atoms, fractional coordinates:
1 Cd 0.0000 0.0000 0.0000 (multiplicity 1)
2 Fe 0.5000 0.5000 0.5000 (multiplicity 1)
3 B 0.0000 0.0000 0.5000 (multiplicity 3)

---

*2*
Entry from Alexandria via LeMat-Bulk: an optimized crystal structure of CdFeB3 (PBE).

Spin magnetization: 0.0 μB/f.u.
ρ: 5.7 g cm⁻³
Volume: 11.61 Å³ per atom

a b c (Å): 3.8718 3.8718 3.8718
angles (deg): 90.00 90.00 90.00
Space group Pm-3m (No. 221)
Inequivalent atoms, fractional coordinates:
1 Cd 0.0000 0.0000 0.0000 (multiplicity 1)
2 Fe 0.5000 0.5000 0.5000 (multiplicity 1)
3 B 0.0000 0.5000 0.5000 (multiplicity 3)

---

Preferred: *2*; penalty for the next structure: 191.6 kJ/mol of atoms.

---

*1*
Entry from Alexandria via LeMat-Bulk: an optimized crystal structure of CdFeNi2B (PBE).

Spin magnetization: 3.9 μB/f.u.
ρ: 4.7 g cm⁻³
Volume: 20.79 Å³ per atom

a b c (Å): 4.6534 4.6534 4.8013
angles (deg): 90.00 90.00 90.00
Space group P4/mmm (No. 123)
Inequivalent atoms, fractional coordinates:
1 Cd 0.0000 0.0000 0.0000 (multiplicity 1)
2 Fe 0.0000 0.0000 0.5000 (multiplicity 1)
3 Ni 0.0000 0.5000 0.0000 (multiplicity 2)
4 B 0.5000 0.5000 0.5000 (multiplicity 1)

---

*2*
Entry from Alexandria via LeMat-Bulk: an optimized crystal structure of CdFeNi2B (PBE).

Spin magnetization: 4.3 μB/f.u.
ρ: 5.6 g cm⁻³
Volume: 17.65 Å³ per atom

a b c (Å): 4.6843 4.6843 4.0213
angles (deg): 90.00 90.00 90.00
Space group P4/mmm (No. 123)
Inequivalent atoms, fractional coordinates:
1 Cd 0.0000 0.0000 0.0000 (multiplicity 1)
2 Fe 0.5000 0.5000 0.5000 (multiplicity 1)
3 Ni 0.0000 0.5000 0.0000 (multiplicity 2)
4 B 0.0000 0.0000 0.5000 (multiplicity 1)

---

Preferred: *2*; penalty for the next structure: 46.5 kJ/mol of atoms.

---

*1*
Entry from Alexandria via LeMat-Bulk: an optimized crystal structure of CdGa2B (PBE).

Spin magnetization: 0.0 μB/f.u.
ρ: 5.2 g cm⁻³
Volume: 20.88 Å³ per atom

a b c (Å): 5.9263 5.9263 9.5120
angles (deg): 90.00 90.00 90.00
Space group I-42d (No. 122)
Inequivalent atoms, fractional coordinates:
1 Cd 0.0000 0.0000 0.0000 (multiplicity 4)
2 Ga 0.1249 0.2500 0.6250 (multiplicity 8)
3 B 0.0000 0.0000 0.5000 (multiplicity 4)

---

*2*
Entry from Alexandria via LeMat-Bulk: an optimized crystal structure of CdGa2B (PBE).

Spin magnetization: 0.0 μB/f.u.
ρ: 6.3 g cm⁻³
Volume: 17.26 Å³ per atom

a b c (Å): 6.5118 6.5118 6.5118
angles (deg): 90.00 90.00 90.00
Space group Fm-3m (No. 225)
Inequivalent atoms, fractional coordinates:
1 Cd 0.0000 0.0000 0.0000 (multiplicity 4)
2 Ga 0.2500 0.2500 0.2500 (multiplicity 8)
3 B 0.0000 0.0000 0.5000 (multiplicity 4)

---

Preferred: *1*; penalty for the next structure: 43.9 kJ/mol of atoms.

---

*1*
Entry from Alexandria via LeMat-Bulk: an optimized crystal structure of Cd3GaB (PBE).

Spin magnetization: 0.0 μB/f.u.
ρ: 5.2 g cm⁻³
Volume: 26.69 Å³ per atom

a b c (Å): 5.1102 5.1102 5.1102
angles (deg): 90.00 90.00 90.00
Space group Pm-3m (No. 221)
Inequivalent atoms, fractional coordinates:
1 Cd 0.0000 0.0000 0.5000 (multiplicity 3)
2 Ga 0.0000 0.0000 0.0000 (multiplicity 1)
3 B 0.5000 0.5000 0.5000 (multiplicity 1)

---

*2*
Entry from Alexandria via LeMat-Bulk: an optimized crystal structure of Cd3GaB (PBE).

Spin magnetization: 0.0 μB/f.u.
ρ: 6.8 g cm⁻³
Volume: 20.39 Å³ per atom

a b c (Å): 4.6713 4.6713 4.6713
angles (deg): 90.00 90.00 90.00
Space group Pm-3m (No. 221)
Inequivalent atoms, fractional coordinates:
1 Cd 0.0000 0.0000 0.5000 (multiplicity 3)
2 Ga 0.5000 0.5000 0.5000 (multiplicity 1)
3 B 0.0000 0.0000 0.0000 (multiplicity 1)

---

Preferred: *2*; penalty for the next structure: 67.2 kJ/mol of atoms.

---

*1*
Entry from Alexandria via LeMat-Bulk: an optimized crystal structure of CdGaB3 (PBE).

Spin magnetization: 0.0 μB/f.u.
ρ: 4.7 g cm⁻³
Volume: 15.08 Å³ per atom

a b c (Å): 4.2247 4.2247 4.2247
angles (deg): 90.00 90.00 90.00
Space group Pm-3m (No. 221)
Inequivalent atoms, fractional coordinates:
1 Cd 0.0000 0.0000 0.0000 (multiplicity 1)
2 Ga 0.5000 0.5000 0.5000 (multiplicity 1)
3 B 0.0000 0.5000 0.5000 (multiplicity 3)

---

*2*
Entry from Alexandria via LeMat-Bulk: an optimized crystal structure of CdGaB3 (PBE).

Spin magnetization: 0.0 μB/f.u.
ρ: 4.1 g cm⁻³
Volume: 17.29 Å³ per atom

a b c (Å): 4.4219 4.4219 4.4219
angles (deg): 90.00 90.00 90.00
Space group Pm-3m (No. 221)
Inequivalent atoms, fractional coordinates:
1 Cd 0.0000 0.0000 0.0000 (multiplicity 1)
2 Ga 0.5000 0.5000 0.5000 (multiplicity 1)
3 B 0.0000 0.0000 0.5000 (multiplicity 3)

---

Preferred: *1*; penalty for the next structure: 40.5 kJ/mol of atoms.

---

*1*
Entry from Alexandria via LeMat-Bulk: an optimized crystal structure of Cd2GaB (PBE).

Spin magnetization: 0.0 μB/f.u.
ρ: 7.0 g cm⁻³
Volume: 18.19 Å³ per atom

a b c (Å): 6.6266 6.6266 6.6266
angles (deg): 90.00 90.00 90.00
Space group Fm-3m (No. 225)
Inequivalent atoms, fractional coordinates:
1 Cd 0.2500 0.2500 0.2500 (multiplicity 8)
2 Ga 0.0000 0.0000 0.0000 (multiplicity 4)
3 B 0.0000 0.0000 0.5000 (multiplicity 4)

---

*2*
Entry from Alexandria via LeMat-Bulk: an optimized crystal structure of Cd2GaB (PBE).

Spin magnetization: 0.0 μB/f.u.
ρ: 6.5 g cm⁻³
Volume: 19.43 Å³ per atom

a b c (Å): 4.3683 4.3683 16.2956
angles (deg): 90.00 90.00 90.00
Space group I-42d (No. 122)
Inequivalent atoms, fractional coordinates:
1 Cd 0.2048 0.2500 0.1250 (multiplicity 8)
2 Ga 0.0000 0.0000 0.5000 (multiplicity 4)
3 B 0.0000 0.0000 0.0000 (multiplicity 4)

---

Preferred: *2*; penalty for the next structure: 6.7 kJ/mol of atoms.

---

*1*
Entry from Alexandria via LeMat-Bulk: an optimized crystal structure of CdGaB2 (PBE).

Spin magnetization: 0.0 μB/f.u.
ρ: 6.1 g cm⁻³
Volume: 13.84 Å³ per atom

a b c (Å): 6.0492 6.0492 6.0492
angles (deg): 90.00 90.00 90.00
Space group Fm-3m (No. 225)
Inequivalent atoms, fractional coordinates:
1 Cd 0.0000 0.0000 0.0000 (multiplicity 4)
2 Ga 0.0000 0.0000 0.5000 (multiplicity 4)
3 B 0.2500 0.2500 0.2500 (multiplicity 8)

---

*2*
Entry from Alexandria via LeMat-Bulk: an optimized crystal structure of CdGaB2 (PBE).

Spin magnetization: 0.0 μB/f.u.
ρ: 6.0 g cm⁻³
Volume: 14.13 Å³ per atom

a b c (Å): 3.9696 3.9696 14.3432
angles (deg): 90.00 90.00 90.00
Space group I-42d (No. 122)
Inequivalent atoms, fractional coordinates:
1 Cd 0.0000 0.0000 0.0000 (multiplicity 4)
2 Ga 0.0000 0.0000 0.5000 (multiplicity 4)
3 B 0.0998 0.2500 0.6250 (multiplicity 8)

---

Preferred: *2*; penalty for the next structure: 43.5 kJ/mol of atoms.

---

*1*
Entry from Alexandria via LeMat-Bulk: an optimized crystal structure of RbCd2GaB (PBE).

Spin magnetization: 0.0 μB/f.u.
ρ: 4.7 g cm⁻³
Volume: 27.46 Å³ per atom

a b c (Å): 5.8653 5.8653 3.9906
angles (deg): 90.00 90.00 90.00
Space group P4/mmm (No. 123)
Inequivalent atoms, fractional coordinates:
1 Rb 0.0000 0.0000 0.0000 (multiplicity 1)
2 Cd 0.0000 0.5000 0.5000 (multiplicity 2)
3 Ga 0.5000 0.5000 0.5000 (multiplicity 1)
4 B 0.5000 0.5000 0.0000 (multiplicity 1)

---

*2*
Entry from Alexandria via LeMat-Bulk: an optimized crystal structure of RbCd2GaB (PBE).

Spin magnetization: 2.0 μB/f.u.
ρ: 2.8 g cm⁻³
Volume: 45.59 Å³ per atom

a b c (Å): 6.4679 6.4679 5.4489
angles (deg): 90.00 90.00 90.00
Space group P4/mmm (No. 123)
Inequivalent atoms, fractional coordinates:
1 Rb 0.0000 0.0000 0.0000 (multiplicity 1)
2 Cd 0.0000 0.5000 0.0000 (multiplicity 2)
3 Ga 0.5000 0.5000 0.5000 (multiplicity 1)
4 B 0.0000 0.0000 0.5000 (multiplicity 1)

---

Preferred: *1*; penalty for the next structure: 99.5 kJ/mol of atoms.

---

*1*
Entry from Alexandria via LeMat-Bulk: an optimized crystal structure of CdGe2B (PBE).

Spin magnetization: 0.0 μB/f.u.
ρ: 6.3 g cm⁻³
Volume: 17.56 Å³ per atom

a b c (Å): 6.5501 6.5501 6.5501
angles (deg): 90.00 90.00 90.00
Space group Fm-3m (No. 225)
Inequivalent atoms, fractional coordinates:
1 Cd 0.0000 0.0000 0.0000 (multiplicity 4)
2 Ge 0.2500 0.2500 0.2500 (multiplicity 8)
3 B 0.0000 0.0000 0.5000 (multiplicity 4)

---

*2*
Entry from Alexandria via LeMat-Bulk: an optimized crystal structure of CdGe2B (PBE).

Spin magnetization: 0.0 μB/f.u.
ρ: 5.6 g cm⁻³
Volume: 19.99 Å³ per atom

a b c (Å): 5.7690 5.7690 9.6101
angles (deg): 90.00 90.00 90.00
Space group I-42d (No. 122)
Inequivalent atoms, fractional coordinates:
1 Cd 0.0000 0.0000 0.0000 (multiplicity 4)
2 Ge 0.1546 0.2500 0.6250 (multiplicity 8)
3 B 0.0000 0.0000 0.5000 (multiplicity 4)

---

Preferred: *2*; penalty for the next structure: 59.0 kJ/mol of atoms.

---

*1*
Entry from Alexandria via LeMat-Bulk: an optimized crystal structure of Cd3GeB (PBE).

Spin magnetization: 0.0 μB/f.u.
ρ: 5.1 g cm⁻³
Volume: 27.66 Å³ per atom

a b c (Å): 5.1716 5.1716 5.1716
angles (deg): 90.00 90.00 90.00
Space group Pm-3m (No. 221)
Inequivalent atoms, fractional coordinates:
1 Cd 0.0000 0.0000 0.5000 (multiplicity 3)
2 Ge 0.0000 0.0000 0.0000 (multiplicity 1)
3 B 0.5000 0.5000 0.5000 (multiplicity 1)

---

*2*
Entry from Alexandria via LeMat-Bulk: an optimized crystal structure of Cd3GeB (PBE).

Spin magnetization: 0.0 μB/f.u.
ρ: 6.9 g cm⁻³
Volume: 20.24 Å³ per atom

a b c (Å): 4.6600 4.6600 4.6600
angles (deg): 90.00 90.00 90.00
Space group Pm-3m (No. 221)
Inequivalent atoms, fractional coordinates:
1 Cd 0.0000 0.0000 0.5000 (multiplicity 3)
2 Ge 0.5000 0.5000 0.5000 (multiplicity 1)
3 B 0.0000 0.0000 0.0000 (multiplicity 1)

---

Preferred: *2*; penalty for the next structure: 62.6 kJ/mol of atoms.

---

*1*
Entry from Alexandria via LeMat-Bulk: an optimized crystal structure of Cd2GeB (PBE).

Spin magnetization: 0.0 μB/f.u.
ρ: 6.9 g cm⁻³
Volume: 18.54 Å³ per atom

a b c (Å): 6.6689 6.6689 6.6689
angles (deg): 90.00 90.00 90.00
Space group Fm-3m (No. 225)
Inequivalent atoms, fractional coordinates:
1 Cd 0.2500 0.2500 0.2500 (multiplicity 8)
2 Ge 0.0000 0.0000 0.0000 (multiplicity 4)
3 B 0.0000 0.0000 0.5000 (multiplicity 4)

---

*2*
Entry from Alexandria via LeMat-Bulk: an optimized crystal structure of Cd2GeB (PBE).

Spin magnetization: 0.0 μB/f.u.
ρ: 6.4 g cm⁻³
Volume: 19.86 Å³ per atom

a b c (Å): 4.4649 4.4649 15.9371
angles (deg): 90.00 90.00 90.00
Space group I-42d (No. 122)
Inequivalent atoms, fractional coordinates:
1 Cd 0.1931 0.2500 0.1250 (multiplicity 8)
2 Ge 0.0000 0.0000 0.5000 (multiplicity 4)
3 B 0.0000 0.0000 0.0000 (multiplicity 4)

---

Preferred: *2*; penalty for the next structure: 8.6 kJ/mol of atoms.

---

*1*
Entry from Alexandria via LeMat-Bulk: an optimized crystal structure of CdB3H (PBE).

Spin magnetization: 0.0 μB/f.u.
ρ: 5.1 g cm⁻³
Volume: 9.55 Å³ per atom

a b c (Å): 3.6279 3.6279 3.6279
angles (deg): 90.00 90.00 90.00
Space group Pm-3m (No. 221)
Inequivalent atoms, fractional coordinates:
1 Cd 0.0000 0.0000 0.0000 (multiplicity 1)
2 B 0.0000 0.5000 0.5000 (multiplicity 3)
3 H 0.5000 0.5000 0.5000 (multiplicity 1)

---

*2*
Entry from Alexandria via LeMat-Bulk: an optimized crystal structure of CdB3H (PBE).

Spin magnetization: 0.0 μB/f.u.
ρ: 2.8 g cm⁻³
Volume: 17.33 Å³ per atom

a b c (Å): 4.4249 4.4249 4.4249
angles (deg): 90.00 90.00 90.00
Space group Pm-3m (No. 221)
Inequivalent atoms, fractional coordinates:
1 Cd 0.0000 0.0000 0.0000 (multiplicity 1)
2 B 0.0000 0.0000 0.5000 (multiplicity 3)
3 H 0.5000 0.5000 0.5000 (multiplicity 1)

---

Preferred: *1*; penalty for the next structure: 85.4 kJ/mol of atoms.

---

*1*
Entry from Alexandria via LeMat-Bulk: an optimized crystal structure of CdBH2 (PBE).

Spin magnetization: 0.0 μB/f.u.
ρ: 5.5 g cm⁻³
Volume: 9.42 Å³ per atom

a b c (Å): 5.3226 5.3226 5.3226
angles (deg): 90.00 90.00 90.00
Space group Fm-3m (No. 225)
Inequivalent atoms, fractional coordinates:
1 Cd 0.0000 0.0000 0.0000 (multiplicity 4)
2 B 0.0000 0.0000 0.5000 (multiplicity 4)
3 H 0.2500 0.2500 0.2500 (multiplicity 8)

---

*2*
Entry from Alexandria via LeMat-Bulk: an optimized crystal structure of CdBH2 (PBE).

Spin magnetization: 0.0 μB/f.u.
ρ: 5.0 g cm⁻³
Volume: 10.30 Å³ per atom

a b c (Å): 4.9946 4.9946 6.6068
angles (deg): 90.00 90.00 90.00
Space group I4_1/amd (No. 141, origin choice 2)
Inequivalent atoms, fractional coordinates:
1 Cd 0.0000 0.2500 0.3750 (multiplicity 4)
2 B 0.0000 0.2500 0.8750 (multiplicity 4)
3 H 0.0000 0.0000 0.0000 (multiplicity 8)

---

Preferred: *2*; penalty for the next structure: 61.3 kJ/mol of atoms.